Material: SrSi2CCl
Method: DFT, PBEsol
State: relaxed

Structure (POSCAR):
```
SrSi2CCl
1.0
4.024 0.000 0.000
0.000 4.024 0.000
0.000 0.000 5.911
C Sr Cl Si
1 1 1 2
direct
0.000 0.000 0.000
0.000 0.000 0.500
0.500 0.500 0.500
0.000 0.500 0.000
0.500 0.000 0.000
```

Computed properties:
N(E_F): 2.1 states/eV per cell
E: -24.963 eV per cell
V: 19.1 Å³/atom